# Ca3TiGa

A relaxed structure of Ca3TiGa (PBE-GGA, Alexandria). Values from VASP.

Quantum ESPRESSO input file:
```
&SYSTEM
  ibrav = 0, nat = 5, ntyp = 3
/
ATOMIC_SPECIES
Ca 40.08 Ca.upf
Ti 47.87 Ti.upf
Ga 69.72 Ga.upf
ATOMIC_POSITIONS crystal
Ca 0.000 0.000 0.500
Ca 0.000 0.500 0.000
Ca 0.500 0.000 0.000
Ti 0.500 0.500 0.500
Ga 0.000 0.000 0.000
CELL_PARAMETERS angstrom
5.667 0.000 0.000
0.000 5.667 0.000
0.000 0.000 5.667
```

calculated density	2.2	Mg/m³
ΔE to the lowest computed polymorph	0	meV/atom
final energy	-2.83	eV/atom
SG	Pm-3m
energy of formation	560	meV per atom

# CaTiGa3

A relaxed structure of CaTiGa3 (PBE-GGA, Alexandria). Values from VASP.

Quantum ESPRESSO input file:
```
&SYSTEM
  ibrav = 0, nat = 5, ntyp = 3
/
ATOMIC_SPECIES
Ca 40.08 Ca.upf
Ti 47.87 Ti.upf
Ga 69.72 Ga.upf
ATOMIC_POSITIONS crystal
Ca 0.000 0.000 0.000
Ti 0.500 0.500 0.500
Ga 0.000 0.000 0.500
Ga 0.000 0.500 0.000
Ga 0.500 0.000 0.000
CELL_PARAMETERS angstrom
5.163 0.000 0.000
0.000 5.163 0.000
0.000 0.000 5.163
```

calculated density	3.6	Mg/m³
ΔE to the lowest computed polymorph	1171	meV/atom
final energy	-2.68	eV/atom
SG	Pm-3m
energy of formation	1113	meV per atom

# Ca3TiGa

A relaxed structure of Ca3TiGa (PBE-GGA, Alexandria). Values from VASP.

Quantum ESPRESSO input file:
```
&SYSTEM
  ibrav = 0, nat = 5, ntyp = 3
/
ATOMIC_SPECIES
Ca 40.08 Ca.upf
Ti 47.87 Ti.upf
Ga 69.72 Ga.upf
ATOMIC_POSITIONS crystal
Ca 0.000 0.000 0.500
Ca 0.000 0.500 0.000
Ca 0.500 0.000 0.000
Ti 0.000 0.000 0.000
Ga 0.500 0.500 0.500
CELL_PARAMETERS angstrom
5.770 0.000 0.000
0.000 5.770 0.000
0.000 0.000 5.770
```

calculated density	2.1	Mg/m³
ΔE to the lowest computed polymorph	227	meV/atom
final energy	-2.60	eV/atom
SG	Pm-3m
energy of formation	787	meV per atom